(1)
Density functional theory data (PBE) for a relaxed SrMg2ZnIn crystal.

abc: 4.5640 4.5640 12.6208
angles: 90.00 90.00 90.00
Closest atoms and distances in Å follow each position.
Space group I4mm (No. 107)
Unique sites:
1 Sr 0.0000 0.0000 0.0000 (multiplicity 2)  4 Zn 3.50, 4 In 3.51, 4 Mg 3.78
2 Mg 0.0000 0.5000 0.2613 (multiplicity 4)  2 Zn 2.82, 2 In 2.98
3 Zn 0.0000 0.0000 0.3922 (multiplicity 2)  1 In 2.74, 4 Mg 2.82
4 In 0.0000 0.0000 0.6092 (multiplicity 2)  1 Zn 2.74, 4 Mg 2.98

Calculated values
* electronic total energy: -1.982 eV/atom

=====

(2)
Density functional theory data (PBE) for a relaxed PaBePt crystal.

abc: 6.4453 6.4453 6.4453
angles: 90.00 90.00 90.00
Closest atoms and distances in Å follow each position.
Space group F-43m (No. 216)
Unique sites:
1 Pa 0.0000 0.0000 0.0000 (multiplicity 4)  4 Be 2.79, 4 Pt 2.79
2 Be 0.2500 0.2500 0.7500 (multiplicity 4)  4 Pa 2.79
3 Pt 0.2500 0.2500 0.2500 (multiplicity 4)  4 Pa 2.79

Calculated values
* excess energy over the best structure of this formula in the dataset: 0.997 eV per atom
* electronic total energy: -6.109 eV/atom

=====

(3)
Density functional theory data (PBE) for a relaxed Zn crystal.

abc: 2.6883 4.6423 4.6532
angles: 90.00 90.00 90.00
Closest atoms and distances in Å follow each position.
Space group Cmcm (No. 63)
Unique sites:
1 Zn 0.0000 0.1662 0.2500 (multiplicity 4)  12 Zn 2.68-2.80

Calculated values
* energy relative to the elements: 0.01 eV/atom
* excess energy over the best structure of this formula in the dataset: 0.008 eV per atom
* electronic total energy: -1.257 eV/atom

=====

Q: The lowest electronic total energy belongs to which entry?
A: PaBePt

=====

Q: Look up the electronic total energy of the third one.
A: -1.257 eV/atom

=====

Q: electronic total energy of number 1 (SrMg2ZnIn)?
A: -1.982 eV/atom

=====

Q: electronic total energy of number 3 (Zn)?
A: -1.257 eV/atom